FeIr2RuF: relaxed, GGA+U.

Geometry as POSCAR:
```
FeIr2RuF
1.0
-0.706 -3.945 -1.795
4.261 -1.255 1.084
-1.429 -1.505 3.870
Ru Ir Fe F
1 2 1 1
direct
0.000 0.500 0.000
0.000 0.000 0.500
0.500 0.000 0.000
0.000 0.000 0.000
0.500 0.500 0.500
```

* SG: P4/mmm, No. 123
* energy above the lowest structure with this stoichiometry: 0.889 eV/atom
* Fermi-level density of states: 7.8 states/eV per cell